CrCd2Pb after structural relaxation, computed with PBE-GGA.

```
data_CrCd2Pb
_chemical_formula_sum 'Cr2 Cd4 Pb2'
_cell_length_a 3.234
_cell_length_b 4.929
_cell_length_c 11.414
_cell_angle_alpha 90.00
_cell_angle_beta 90.00
_cell_angle_gamma 90.00
_symmetry_space_group_name_H-M 'I m m m'
_symmetry_Int_Tables_number 71
_symmetry_space_group_name_Hall '-I 2 2'
loop_
_atom_site_label
_atom_site_type_symbol
_atom_site_fract_x
_atom_site_fract_y
_atom_site_fract_z
_atom_site_occupancy
Cr1 Cr 0.000 0.000 0.000 1
Cd1 Cd 0.000 0.500 0.285 1
Pb1 Pb 0.000 0.000 0.500 1
```

***

CrCd2Pb after structural relaxation, computed with PBE-GGA.

```
data_CrCd2Pb
_chemical_formula_sum 'Cr2 Cd4 Pb2'
_cell_length_a 4.361
_cell_length_b 4.361
_cell_length_c 9.433
_cell_angle_alpha 90.00
_cell_angle_beta 90.00
_cell_angle_gamma 90.00
_symmetry_space_group_name_H-M 'I 4/m m m'
_symmetry_Int_Tables_number 139
_symmetry_space_group_name_Hall '-I 4 2'
loop_
_atom_site_label
_atom_site_type_symbol
_atom_site_fract_x
_atom_site_fract_y
_atom_site_fract_z
_atom_site_occupancy
Cr1 Cr 0.000 0.000 0.000 1
Cd1 Cd 0.000 0.500 0.250 1
Pb1 Pb 0.000 0.000 0.500 1
```

***

CrCdPb3 after structural relaxation, computed with PBE-GGA.

```
data_CrCdPb3
_chemical_formula_sum 'Cr1 Cd1 Pb3'
_cell_length_a 5.241
_cell_length_b 5.241
_cell_length_c 5.241
_cell_angle_alpha 90.00
_cell_angle_beta 90.00
_cell_angle_gamma 90.00
_symmetry_space_group_name_H-M 'P m -3 m'
_symmetry_Int_Tables_number 221
_symmetry_space_group_name_Hall '-P 4 2 3'
loop_
_atom_site_label
_atom_site_type_symbol
_atom_site_fract_x
_atom_site_fract_y
_atom_site_fract_z
_atom_site_occupancy
Cr1 Cr 0.000 0.000 0.000 1
Cd1 Cd 0.500 0.500 0.500 1
Pb1 Pb 0.000 0.000 0.500 1
```

***

CrCd2Pb after structural relaxation, computed with PBE-GGA.

```
data_CrCd2Pb
_chemical_formula_sum 'Cr2 Cd4 Pb2'
_cell_length_a 4.496
_cell_length_b 4.508
_cell_length_c 8.980
_cell_angle_alpha 90.00
_cell_angle_beta 90.00
_cell_angle_gamma 90.00
_symmetry_space_group_name_H-M 'I m m 2'
_symmetry_Int_Tables_number 44
_symmetry_space_group_name_Hall 'I 2 -2'
loop_
_atom_site_label
_atom_site_type_symbol
_atom_site_fract_x
_atom_site_fract_y
_atom_site_fract_z
_atom_site_occupancy
Cr1 Cr 0.000 0.000 0.000 1
Cd1 Cd 0.000 0.000 0.500 1
Cd2 Cd 0.000 0.500 0.250 1
Pb1 Pb 0.000 0.500 0.750 1
```

***

CrCd2Pb after structural relaxation, computed with PBE-GGA.

```
data_CrCd2Pb
_chemical_formula_sum 'Cr2 Cd4 Pb2'
_cell_length_a 5.911
_cell_length_b 8.851
_cell_length_c 3.517
_cell_angle_alpha 90.00
_cell_angle_beta 90.00
_cell_angle_gamma 90.00
_symmetry_space_group_name_H-M 'C m m m'
_symmetry_Int_Tables_number 65
_symmetry_space_group_name_Hall '-C 2 2'
loop_
_atom_site_label
_atom_site_type_symbol
_atom_site_fract_x
_atom_site_fract_y
_atom_site_fract_z
_atom_site_occupancy
Cr1 Cr 0.000 0.000 0.000 1
Cd1 Cd 0.250 0.250 0.500 1
Pb1 Pb 0.000 0.500 0.000 1
```

***

CrCd2Pb after structural relaxation, computed with PBE-GGA.

```
data_CrCd2Pb
_chemical_formula_sum 'Cr4 Cd8 Pb4'
_cell_length_a 7.169
_cell_length_b 7.169
_cell_length_c 7.169
_cell_angle_alpha 90.00
_cell_angle_beta 90.00
_cell_angle_gamma 90.00
_symmetry_space_group_name_H-M 'F -4 3 m'
_symmetry_Int_Tables_number 216
_symmetry_space_group_name_Hall 'F -4 2 3'
loop_
_atom_site_label
_atom_site_type_symbol
_atom_site_fract_x
_atom_site_fract_y
_atom_site_fract_z
_atom_site_occupancy
Cr1 Cr 0.000 0.000 0.000 1
Cd1 Cd 0.000 0.000 0.500 1
Cd2 Cd 0.250 0.250 0.750 1
Pb1 Pb 0.250 0.250 0.250 1
```

***

| no. | calculated formation energy (eV per formula unit) |
| --- | --- |
| 1 | 1.26 |
| 2 | 1.28 |
| 3 | 1.92 |
| 4 | 1.37 |
| 5 | 1.48 |
| 6 | 1.44 |